1.
11
Lattice="5.870 0.003 0.124 -2.899 5.104 0.124 -0.982 -1.688 6.454" Properties=species:S:1:pos:R:3 comment="K2Pa2MoN6 GGA-PBE optimized geometry" e_form_raw_kj_per_mol_atoms=-83.6 sg=C2/m total_energy_ev_per_atom=-8.32 total_magnetization_mub_per_fu=0.0 pbc="T T T"
K 4.483 0.810 0.124
K -1.512 4.297 0.124
Pa -0.457 2.554 3.351
Pa 2.446 0.865 3.351
Mo -0.491 -0.844 3.227
N 1.561 2.684 4.439
N -1.439 0.716 4.290
N 0.428 0.735 2.263
N 1.333 -0.897 4.290
N 3.428 2.703 2.413
N 0.655 4.315 2.413

***

2.
12
Lattice="-3.842 -4.610 3.921 4.253 -3.149 4.862 0.834 2.966 6.503" Properties=species:S:1:pos:R:3 comment="Sm5TmSe6 GGA-PBE optimized geometry" e_form_raw_kj_per_mol_atoms=-173.1 sg=C2/m total_energy_ev_per_atom=-5.87 total_magnetization_mub_per_fu=0.0 pbc="T T T"
Tm 0.000 0.000 0.000
Se -2.290 -2.786 5.463
Se 1.866 -2.040 5.950
Se 0.074 -1.902 2.145
Se 0.337 -5.857 6.638
Se -0.621 -2.753 9.335
Se 3.535 -2.007 9.822
Sm -0.640 -0.909 7.055
Sm 1.692 -0.049 3.799
Sm 0.205 -3.879 4.392
Sm 3.395 -0.134 7.565
Sm 1.885 -3.884 8.231

***

3.
9
Lattice="-1.630 1.364 4.425 7.766 -3.224 3.855 -0.421 8.820 -2.874" Properties=species:S:1:pos:R:3 comment="K2NdI6 GGA-PBE optimized geometry" e_form_raw_kj_per_mol_atoms=-114.3 sg=Amm2 total_energy_ev_per_atom=-2.99 total_magnetization_mub_per_fu=0.3 pbc="T T T"
K 2.295 4.800 -0.634
K 5.033 0.803 1.607
Nd -0.805 0.678 2.217
I 4.116 -1.365 4.661
I 1.869 2.741 2.567
I 6.673 3.045 4.243
I 1.884 -0.782 0.935
I 5.579 4.254 0.744
I 7.661 -1.105 3.164

***

4.
5
Lattice="4.064 0.000 0.000 0.000 4.064 0.000 0.000 0.000 4.064" Properties=species:S:1:pos:R:3 comment="B3OsPd GGA-PBE optimized geometry" formation_energy_ev_per_atom=0.919 sg=Pm-3m relative_energy_ev_per_atom=0.000 total_energy_ev_per_atom=-6.37 total_magnetization_mub_per_fu=0.0 pbc="T T T"
B 0.000 2.032 0.000
B 0.000 0.000 2.032
B 2.032 0.000 0.000
Os 0.000 0.000 0.000
Pd 2.032 2.032 2.032

***

5.
4
Lattice="5.228 0.000 0.000 2.614 4.527 0.000 2.614 1.509 4.268" Properties=species:S:1:pos:R:3 comment="NdGdTiAl GGA-PBE optimized geometry" formation_energy_ev_per_atom=-0.016 sg=F-43m total_energy_ev_per_atom=-7.64 total_magnetization_mub_per_fu=9.5 pbc="T T T"
Gd 0.000 0.000 0.000
Nd 5.228 3.018 2.134
Al 7.841 4.527 3.201
Ti 2.614 1.509 1.067

***

6.
10
Lattice="8.167 0.000 0.000 0.000 8.167 0.000 0.000 0.000 3.743" Properties=species:S:1:pos:R:3 comment="NaSn2As2 GGA-PBE optimized geometry" formation_energy_ev_per_atom=-0.008 sg=P4/mbm relative_energy_ev_per_atom=0.245 total_energy_ev_per_atom=-3.73 total_magnetization_mub_per_fu=0.0 pbc="T T T"
Na 0.000 0.000 0.000
Na 4.083 4.083 0.000
As 1.252 5.335 1.872
As 5.335 6.915 1.872
As 6.915 2.832 1.872
As 2.832 1.252 1.872
Sn 2.961 7.044 0.000
Sn 7.044 5.205 0.000
Sn 5.205 1.122 0.000
Sn 1.122 2.961 0.000

***

7.
5
Lattice="5.729 0.000 0.000 0.000 5.204 0.000 0.000 0.000 5.729" Properties=species:S:1:pos:R:3 comment="HfTl2AgO GGA-PBE optimized geometry" e_form_raw_kj_per_mol_atoms=115.5 sg=P4/mmm total_energy_ev_per_atom=-3.30 total_magnetization_mub_per_fu=0.0 pbc="T T T"
Tl 0.000 0.000 2.865
Tl 2.865 0.000 0.000
Hf 0.000 0.000 0.000
O 2.865 2.602 2.865
Ag 0.000 2.602 0.000

***

8.
3
Lattice="4.983 0.000 0.000 2.491 4.315 0.000 2.491 1.438 4.068" Properties=species:S:1:pos:R:3 comment="SrHgIr GGA-PBE optimized geometry" formation_energy_ev_per_atom=0.684 sg=F-43m total_energy_ev_per_atom=-2.93 total_magnetization_mub_per_fu=0.0 pbc="T T T"
Hg 0.000 0.000 0.000
Ir 4.983 2.877 2.034
Sr 7.474 4.315 3.051